Computed, not measured: an optimized crystal structure of Mg3MnO at the GGA+U level of DFT.

Results
Magnetization: 4.44 μB per formula unit
Final energy: -4.111 eV per atom

Cell lengths 4.363, 4.363, 4.363 Å; angles 90.00, 90.00, 90.00 degrees
Space group Pm-3m (No. 221)
Inequivalent atoms, fractional coordinates:
Mg 0.000 0.000 0.500 (multiplicity 3)
Mn 0.500 0.500 0.500 (multiplicity 1)
O 0.000 0.000 0.000 (multiplicity 1)